Density functional theory data (PBE+U) for an optimized crystal structure of Co2BrNF.

Cell lengths 4.330, 3.994, 4.330 Å; angles 90.00, 90.00, 90.00 degrees
Each line ends with the local moment (μB).
Fractional coordinates of all 5 atoms:
Co1 0.500 0.000 0.000  2.07
N1 0.000 0.500 0.000  1.21
F1 0.000 0.000 0.000  0.06
Br1 0.500 0.500 0.500  0.15
Co2 0.000 0.000 0.500  2.15

Output
- E_tot (eV/atom) = -3.49